# NdInP2Rh5

Crystalline NdInP2Rh5 at its relaxed geometry (GGA-PBE, the Alexandria database).

Calculated values
**Total magnetic moment**: 0.00 μB per cell
**ΔH_f (0 K)**: -62.5 kJ/mol of atoms
**SG**: No. 123

Cell: 4.0935 4.0935 10.0711 Å, 90.00 90.00 90.00°
Last column: nearest neighbours and their distance in Å.
Fractional coordinates of all 9 atoms:
Nd  0.0000  0.0000  0.5000  4 Rh 2.89
In  0.0000  0.0000  0.0000  8 Rh 2.74
P  0.5000  0.5000  0.2755  5 Rh 2.26
P  0.5000  0.5000  0.7245  5 Rh 2.26
Rh  0.0000  0.5000  0.1802  2 P 2.26
Rh  0.5000  0.0000  0.1802  2 P 2.26
Rh  0.0000  0.5000  0.8198  2 P 2.26
Rh  0.5000  0.0000  0.8198  2 P 2.26
Rh  0.5000  0.5000  0.5000  2 P 2.26

=====

# NaRuO2

Crystalline NaRuO2 at its relaxed geometry (GGA-PBE, the Alexandria database).

Calculated values
**Total magnetic moment**: 0.00 μB per cell
**Uncorrected formation energy**: -0.9007 eV per atom
**SG**: No. 33

Cell: 5.7179 4.8579 7.7155 Å, 90.00 90.00 90.00°
Last column: nearest neighbours and their distance in Å.
Fractional coordinates of all 16 atoms:
Na  0.0154  0.9941  0.3793  4 O 2.25-2.42
Na  0.5154  0.0059  0.6207  4 O 2.25-2.42
Na  0.5154  0.5059  0.8793  4 O 2.25-2.42
Na  0.0154  0.4941  0.1207  4 O 2.25-2.42
Ru  0.9553  0.0437  0.8438  4 O 1.91-2.13
Ru  0.4553  0.9563  0.1562  4 O 1.91-2.13
Ru  0.4553  0.4563  0.3438  4 O 1.91-2.13
Ru  0.9553  0.5437  0.6562  4 O 1.91-2.13
O  0.1414  0.3762  0.8366  2 Ru 1.93
O  0.6414  0.6238  0.1634  2 Ru 1.93
O  0.6413  0.1238  0.3366  2 Ru 1.93
O  0.1413  0.8762  0.6634  2 Ru 1.93
O  0.6378  0.0350  0.9203  2 Ru 1.91-2.13
O  0.1378  0.9650  0.0797  2 Ru 1.91-2.13
O  0.1378  0.4649  0.4204  2 Ru 1.91-2.13
O  0.6378  0.5351  0.5796  2 Ru 1.91-2.13

=====

# Gd2ZrAg

Crystalline Gd2ZrAg at its relaxed geometry (GGA-PBE, the Alexandria database).

Calculated values
**Total magnetic moment**: 14.41 μB per cell
**ΔH_f (0 K)**: -9.0 kJ/mol of atoms
**Polymorph energy (0 for the lowest one)**: 0.0 kJ/mol of atoms
**SG**: No. 123

Cell: 3.4393 3.4393 8.7771 Å, 90.00 90.00 90.00°
Last column: nearest neighbours and their distance in Å.
Fractional coordinates of all 4 atoms:
Gd  0.0000  0.0000  0.7628  4 Ag 3.20, 4 Zr 3.35, 4 Gd 3.44
Gd  0.0000  0.0000  0.2372  4 Ag 3.20, 4 Zr 3.35, 4 Gd 3.44
Zr  0.5000  0.5000  0.5000  8 Gd 3.35, 4 Zr 3.44
Ag  0.5000  0.5000  0.0000  8 Gd 3.20, 4 Ag 3.44

=====

# PmErBe

Crystalline PmErBe at its relaxed geometry (GGA-PBE, the Alexandria database).

Calculated values
**Total magnetic moment**: 0.00 μB per cell
**ΔH_f (0 K)**: 10.4 kJ/mol of atoms
**Polymorph energy (0 for the lowest one)**: 0.0 kJ/mol of atoms
**SG**: No. 107

Cell: 3.4983 3.4983 6.5193 Å, 105.56 105.56 90.00°
Last column: nearest neighbours and their distance in Å.
Fractional coordinates of all 3 atoms:
Be  0.6740  0.6740  0.3480  4 Er 2.89, 4 Pm 3.04
Pm  0.0274  0.0274  0.0549  4 Be 3.04, 1 Er 3.27
Er  0.2986  0.2986  0.5971  4 Be 2.89